Material: Ba2AlIr
Method: DFT, PBE-GGA
State: relaxed

Space-group type: I-42d, No. 122
Energy of formation, eV per atom: -0.204

a = 11.7877 Å, b = 11.7877 Å, c = 8.6790 Å
α = 47.23°, β = 47.23°, γ = 90.00°
Sites, in units of the cell vectors:
Ir 0.7500 0.2500 0.5000
Ba 0.3750 0.1942 0.7500
Al 0.5000 0.5000 0.0000
Al 0.2500 0.7500 0.5000
Ba 0.8058 0.1250 0.2500
Ir 0.0000 0.0000 0.0000
Ba 0.9442 0.6250 0.2500
Ba 0.8750 0.0558 0.7500


Material: KMn2N2
Method: DFT, PBE-GGA
State: relaxed

Space-group type: I4/mmm, No. 139
E above lowest polymorph, meV per atom: 0.0
ΔE_f (raw), eV per atom: -0.267

a = 3.4123 Å, b = 3.4123 Å, c = 6.4000 Å
α = 105.46°, β = 105.46°, γ = 90.00°
Sites, in units of the cell vectors:
N 0.6704 0.6704 0.3408
Mn 0.7500 0.2500 0.5000
Mn 0.2500 0.7500 0.5000
K 0.0000 0.0000 0.0000
N 0.3296 0.3296 0.6592


Material: TlNiP2
Method: DFT, PBE-GGA
State: relaxed

Space-group type: R-3m, No. 166
E above lowest polymorph, meV per atom: 26.9
Energy of formation, eV per atom: -0.093

a = 6.8801 Å, b = 6.8801 Å, c = 6.8801 Å
α = 30.70°, β = 30.70°, γ = 30.70°
Sites, in units of the cell vectors:
Ni 0.7500 0.7500 0.7500
P 0.4622 0.4622 0.4622
Tl 0.2500 0.2500 0.2500
P 0.0378 0.0378 0.0378


Material: BiSbP2O
Method: DFT, PBE-GGA
State: relaxed

Space-group type: P4/mmm, No. 123
E above lowest polymorph, meV per atom: 392.9
ΔE_f (raw), eV per atom: 0.588

a = 5.2869 Å, b = 5.2869 Å, c = 4.1523 Å
α = 90.00°, β = 90.00°, γ = 90.00°
Sites, in units of the cell vectors:
P 0.5000 0.0000 0.0000
O 0.0000 0.0000 0.5000
Bi 0.0000 0.0000 0.0000
Sb 0.5000 0.5000 0.5000
P 0.0000 0.5000 0.0000


Material: Zn5Cu2Pt2
Method: DFT, PBE-GGA
State: relaxed

Space-group type: Cmce, No. 64
Energy of formation, eV per atom: -0.150

a = 6.3966 Å, b = 6.4341 Å, c = 7.3487 Å
α = 115.96°, β = 90.00°, γ = 90.00°
Sites, in units of the cell vectors:
Pt 0.5000 0.2966 0.5932
Pt 0.5000 0.7034 0.4068
Zn 0.0000 0.0000 0.0000
Cu 0.8655 0.3645 0.0000
Zn 0.6604 0.2979 0.2700
Zn 0.3396 0.9721 0.2700
Cu 0.3655 0.1355 0.0000
Cu 0.1345 0.6355 0.0000
Zn 0.1604 0.2021 0.7300
Zn 0.3396 0.7021 0.7300
Zn 0.8396 0.5279 0.7300
Pt 0.0000 0.2034 0.4068
Cu 0.6345 0.8645 0.0000
Zn 0.6604 0.0279 0.7300
Zn 0.8396 0.7979 0.2700
Pt 0.0000 0.7966 0.5932
Zn 0.5000 0.5000 0.0000
Zn 0.1604 0.4721 0.2700


Material: Zr2CoCuH
Method: DFT, PBE-GGA
State: relaxed

Space-group type: P4/mmm, No. 123
E above lowest polymorph, meV per atom: 0.0

a = 4.5199 Å, b = 4.5199 Å, c = 3.4102 Å
α = 90.00°, β = 90.00°, γ = 90.00°
Sites, in units of the cell vectors:
Co 0.0000 0.0000 0.5000
Zr 0.5000 0.0000 0.0000
H 0.0000 0.0000 0.0000
Cu 0.5000 0.5000 0.5000
Zr 0.0000 0.5000 0.0000


Final energy list, top to bottom, in Ry per atom: -0.31721 -0.55007 -0.35532 -0.30636 -0.22863 -0.48245